{
  "formula": "NaTlHg2As",
  "functional": "PBE",
  "state": "optimized geometry",
  "volume_a3_per_atom": 37.78,
  "magmom_total_mub_per_fu": 1.2,
  "formation_enthalpy_0k_ev_per_atom": 0.529,
  "rho_g_cm3": 6.18,
  "lattice": [[5.649, 0.000, 0.000], [0.000, 5.649, 0.000], [0.000, 0.000, 5.920]],
  "species": ["Na", "Tl", "Hg", "Hg", "As"],
  "frac_coords": [[0.000, 0.000, 0.000], [0.000, 0.000, 0.500], [0.000, 0.500, 0.500], [0.500, 0.000, 0.500], [0.500, 0.500, 0.000]]
}

---

{
  "formula": "NiTe3Mo",
  "functional": "PBE",
  "state": "optimized geometry",
  "volume_a3_per_atom": 24.84,
  "magmom_total_mub_per_fu": 2.9,
  "rho_g_cm3": 7.18,
  "e_form_raw_ev_per_atom": 0.823,
  "lattice": [[4.990, 0.000, 0.000], [0.000, 4.990, 0.000], [0.000, 0.000, 4.990]],
  "species": ["Ni", "Te", "Te", "Te", "Mo"],
  "frac_coords": [[0.000, 0.000, 0.000], [0.000, 0.000, 0.500], [0.000, 0.500, 0.000], [0.500, 0.000, 0.000], [0.500, 0.500, 0.500]]
}

---

{
  "formula": "HfPaAg2O6",
  "functional": "PBE",
  "state": "optimized geometry",
  "volume_a3_per_atom": 13.93,
  "magmom_total_mub_per_fu": 0.0,
  "rho_g_cm3": 8.60,
  "e_form_raw_ev_per_atom": -2.241,
  "lattice": [[4.921, -3.030, 0.000], [4.921, 3.030, 0.000], [-3.265, 0.000, 4.669]],
  "species": ["Hf", "Pa", "Ag", "Ag", "O", "O", "O", "O", "O", "O"],
  "frac_coords": [[0.000, 0.000, 0.000], [0.500, 0.500, 0.500], [0.251, 0.251, 0.785], [0.749, 0.749, 0.215], [0.178, 0.689, 0.176], [0.245, 0.245, 0.372], [0.311, 0.822, 0.824], [0.689, 0.178, 0.176], [0.755, 0.755, 0.628], [0.822, 0.311, 0.824]]
}

---

{
  "formula": "Ac2ZnTcO8",
  "functional": "PBE",
  "state": "optimized geometry",
  "volume_a3_per_atom": 14.44,
  "magmom_total_mub_per_fu": 1.0,
  "rho_g_cm3": 7.14,
  "e_form_raw_ev_per_atom": -2.028,
  "lattice": [[4.407, 0.000, 0.000], [0.648, 5.414, 0.000], [0.392, 0.770, 7.261]],
  "species": ["Ac", "Ac", "Zn", "Tc", "O", "O", "O", "O", "O", "O", "O", "O"],
  "frac_coords": [[0.193, 0.013, 0.243], [0.807, 0.987, 0.757], [0.500, 0.500, 0.000], [0.500, 0.500, 0.500], [0.198, 0.754, 0.556], [0.290, 0.253, 0.631], [0.296, 0.823, 0.944], [0.299, 0.477, 0.267], [0.701, 0.523, 0.733], [0.704, 0.177, 0.056], [0.710, 0.747, 0.369], [0.802, 0.246, 0.444]]
}

---

{
  "formula": "AcPmPtAu",
  "functional": "PBE",
  "state": "optimized geometry",
  "volume_a3_per_atom": 27.18,
  "magmom_total_mub_per_fu": 0.0,
  "formation_enthalpy_0k_ev_per_atom": -0.957,
  "rho_g_cm3": 11.67,
  "lattice": [[4.810, 0.000, 0.000], [0.000, 4.034, 0.000], [0.000, 0.000, 11.208]],
  "species": ["Ac", "Ac", "Pm", "Pm", "Pt", "Pt", "Au", "Au"],
  "frac_coords": [[0.000, 0.000, 0.000], [0.000, 0.500, 0.500], [0.500, 0.000, 0.274], [0.500, 0.500, 0.774], [0.000, 0.000, 0.728], [0.000, 0.500, 0.228], [0.500, 0.000, 0.555], [0.500, 0.500, 0.055]]
}

---

{
  "formula": "HoErTm2",
  "functional": "PBE",
  "state": "optimized geometry",
  "volume_a3_per_atom": 30.57,
  "magmom_total_mub_per_fu": 0.0,
  "formation_enthalpy_0k_ev_per_atom": 0.002,
  "rho_g_cm3": 9.10,
  "lattice": [[3.568, 0.000, 0.000], [0.000, 5.547, 0.000], [0.000, 0.000, 6.178]],
  "species": ["Ho", "Er", "Tm", "Tm"],
  "frac_coords": [[0.000, 0.000, 0.000], [0.000, 0.500, 0.666], [0.500, 0.000, 0.499], [0.500, 0.500, 0.166]]
}

---

{
  "formula": "YU2Co9",
  "functional": "PBE",
  "state": "optimized geometry",
  "volume_a3_per_atom": 13.80,
  "magmom_total_mub_per_fu": 4.6,
  "formation_enthalpy_0k_ev_per_atom": -0.171,
  "rho_g_cm3": 10.99,
  "lattice": [[2.423, 1.399, 8.140], [-2.423, 1.399, 8.140], [0.000, -2.798, 8.140]],
  "species": ["Y", "U", "U", "Co", "Co", "Co", "Co", "Co", "Co", "Co", "Co", "Co"],
  "frac_coords": [[0.000, 0.000, 0.000], [0.141, 0.141, 0.141], [0.859, 0.859, 0.859], [0.084, 0.582, 0.582], [0.333, 0.333, 0.333], [0.418, 0.418, 0.916], [0.418, 0.916, 0.418], [0.500, 0.500, 0.500], [0.582, 0.084, 0.582], [0.582, 0.582, 0.084], [0.667, 0.667, 0.667], [0.916, 0.418, 0.418]]
}

---

{
  "formula": "NbVPt2",
  "functional": "PBE",
  "state": "optimized geometry",
  "volume_a3_per_atom": 16.91,
  "magmom_total_mub_per_fu": 0.0,
  "formation_enthalpy_0k_ev_per_atom": -0.084,
  "rho_g_cm3": 13.11,
  "lattice": [[7.111, 0.000, 0.000], [0.000, 7.111, 0.000], [0.000, 0.000, 5.352]],
  "species": ["Nb", "Nb", "Nb", "Nb", "V", "V", "V", "V", "Pt", "Pt", "Pt", "Pt", "Pt", "Pt", "Pt", "Pt"],
  "frac_coords": [[0.000, 0.000, 0.000], [0.000, 0.500, 0.250], [0.500, 0.000, 0.750], [0.500, 0.500, 0.500], [0.000, 0.000, 0.500], [0.000, 0.500, 0.750], [0.500, 0.000, 0.250], [0.500, 0.500, 0.000], [0.225, 0.250, 0.625], [0.250, 0.725, 0.875], [0.250, 0.775, 0.375], [0.275, 0.250, 0.125], [0.725, 0.750, 0.125], [0.750, 0.225, 0.375], [0.750, 0.275, 0.875], [0.775, 0.750, 0.625]]
}